1.
! PBE La7Y3Er, relaxed; values from VASP
! ρ = 6.0 Mg/m³
! Fermi-level density of states = 18.8 states/eV/f.u.
! formation energy from the elements = 11.9 kJ per mole of atoms
! ΔE to the lowest computed polymorph = 0 meV/atom
&SYSTEM
  ibrav = 0, nat = 11, ntyp = 3
/
ATOMIC_SPECIES
La 138.91 La.upf
Y 88.91 Y.upf
Er 167.26 Er.upf
CELL_PARAMETERS angstrom
6.6269 0.0000 0.0000
-0.7116 6.7699 0.0000
-1.3053 -1.7818 8.6835
ATOMIC_POSITIONS angstrom
La 0.0000 0.0000 0.0000
La -0.9985 3.6849 5.6168
La 0.2203 0.3101 6.1324
La 1.4979 3.2979 7.9553
La 3.1121 1.6901 0.7282
La 4.3897 4.6780 2.5511
La 5.6085 1.3032 3.0667
Y 1.0785 5.6790 2.8544
Y 2.3050 2.4940 4.3417
Y 3.5315 -0.6909 5.8291
Er -0.3558 3.3850 0.0000

2.
! PBE CuNi2, relaxed; values from VASP
! ρ = 8.9 Mg/m³
! Fermi-level density of states = 6.3 states/eV/f.u.
! formation energy from the elements = 9.6 kJ per mole of atoms
&SYSTEM
  ibrav = 0, nat = 9, ntyp = 2
/
ATOMIC_SPECIES
Cu 63.55 Cu.upf
Ni 58.69 Ni.upf
CELL_PARAMETERS angstrom
6.9060 0.0000 0.0000
-3.4530 5.9808 0.0000
0.0000 0.0000 2.4547
ATOMIC_POSITIONS angstrom
Cu 0.0000 0.0000 0.0000
Cu 0.0000 3.9872 1.2273
Cu 3.4530 1.9936 1.2273
Ni -1.0631 1.8414 1.2273
Ni -2.2168 3.8396 0.0000
Ni 2.1262 0.0000 1.2273
Ni 1.2362 2.1411 0.0000
Ni 4.4336 0.0000 0.0000
Ni 2.3899 4.1394 1.2273

3.
! PBE SbIr2Au, relaxed; values from VASP
! ρ = 16.8 Mg/m³
! Fermi-level density of states = 3.4 states/eV/f.u.
! raw formation energy = 166 kJ/mol of formula units
&SYSTEM
  ibrav = 0, nat = 4, ntyp = 3
/
ATOMIC_SPECIES
Sb 121.76 Sb.upf
Ir 192.22 Ir.upf
Au 196.97 Au.upf
CELL_PARAMETERS angstrom
2.9854 0.0000 0.0000
0.0000 4.6835 0.0000
0.0000 0.0000 4.9803
ATOMIC_POSITIONS angstrom
Sb 0.0000 0.0000 0.0000
Ir 0.0000 2.3418 2.4902
Ir 1.4927 2.3418 0.0000
Au 1.4927 0.0000 2.4902

4.
! PBE MnH7Pd12, relaxed; values from VASP
! ρ = 10.3 Mg/m³
! Fermi-level density of states = 8.4 states/eV/f.u.
! electronic total energy = -4.85 eV/atom
&SYSTEM
  ibrav = 0, nat = 20, ntyp = 3
/
ATOMIC_SPECIES
Mn 54.94 Mn.upf
H 1.01 H.upf
Pd 106.42 Pd.upf
CELL_PARAMETERS angstrom
5.1668 2.9831 2.3390
-5.1668 2.9831 2.3390
0.0000 -5.9661 2.3390
ATOMIC_POSITIONS angstrom
Mn 0.0000 0.0000 0.0000
H -0.5239 -1.7137 1.3416
H -1.2222 1.3106 1.3416
H 1.7461 0.4031 1.3416
H 0.0000 0.0000 3.5086
H -1.7461 -0.4031 5.6755
H 1.2222 -1.3106 5.6755
H 0.5239 1.7137 5.6755
Pd -0.8012 -3.2470 2.3553
Pd -1.5833 -0.4646 2.3262
Pd -2.4114 2.3173 2.3553
Pd -3.2126 -0.9297 4.6619
Pd 1.1940 -1.1389 2.3262
Pd 0.3893 1.6034 2.3262
Pd -0.3893 -1.6034 4.6909
Pd -1.1940 1.1389 4.6909
Pd 3.2126 0.9297 2.3553
Pd 2.4114 -2.3173 4.6619
Pd 1.5833 0.4646 4.6909
Pd 0.8012 3.2470 4.6619

5.
! PBE NpBiRhO6, relaxed; values from VASP
! ρ = 8.9 Mg/m³
! Fermi-level density of states = 0.5 states/eV/f.u.
! raw formation energy = -1388 kJ/mol of formula units
&SYSTEM
  ibrav = 0, nat = 18, ntyp = 4
/
ATOMIC_SPECIES
Np 237.00 Np.upf
Bi 208.98 Bi.upf
Rh 102.91 Rh.upf
O 16.00 O.upf
CELL_PARAMETERS angstrom
5.6501 0.0000 0.0000
-2.8251 4.8932 0.0000
0.0000 0.0000 8.7326
ATOMIC_POSITIONS angstrom
Np 0.0000 3.2621 2.1832
Np 2.8251 1.6311 6.5495
Bi 0.0000 3.2621 6.5495
Bi 2.8251 1.6311 2.1832
Rh 0.0000 0.0000 0.0000
Rh 0.0000 0.0000 4.3663
O -0.7254 1.6571 1.0498
O -1.7527 3.4365 3.3165
O 0.7254 1.6571 3.3165
O -1.0273 4.6928 1.0498
O 1.7977 0.2003 5.4161
O 1.0724 1.4567 7.6829
O 1.7527 3.4365 1.0498
O 1.0273 4.6928 3.3165
O 3.8524 0.2003 7.6829
O 2.0997 3.2361 5.4161
O 4.5778 1.4567 5.4161
O 3.5504 3.2361 7.6829

6.
! PBE SrZr2Sb, relaxed; values from VASP
! ρ = 6.1 Mg/m³
! Fermi-level density of states = 4.5 states/eV/f.u.
! raw formation energy = -9 kJ/mol of formula units
&SYSTEM
  ibrav = 0, nat = 4, ntyp = 3
/
ATOMIC_SPECIES
Sr 87.62 Sr.upf
Zr 91.22 Zr.upf
Sb 121.76 Sb.upf
CELL_PARAMETERS angstrom
-2.0010 2.5180 5.3224
2.0010 -2.5180 5.3224
2.0010 2.5180 -5.3224
ATOMIC_POSITIONS angstrom
Sr 0.0000 0.0000 0.0000
Zr 2.0010 0.0000 2.9254
Zr 0.0000 2.5180 2.3970
Sb 0.0000 0.0000 5.3224